Ba2ErOsS6: relaxed, PBE.

Summary:
Calculated volume   243.3 Å³ per cell
Uncorrected energy   -0.2103 Ha/atom
Total magnetization   0.219 μB/atom

Cell: 6.946 6.955 6.989 Å, 61.20 60.82 60.49°
Each line ends with the local moment (μB).
Fractional coordinates of all 10 atoms:
Ba  0.750  0.251  0.246  0.02
Ba  0.250  0.749  0.754  0.02
Er  0.000  0.500  0.500  -0.02
Os  0.500  0.000  0.000  1.19
S  0.775  0.741  0.199  0.08
S  0.294  0.732  0.214  0.08
S  0.269  0.182  0.291  0.08
S  0.731  0.818  0.709  0.08
S  0.706  0.268  0.786  0.08
S  0.225  0.259  0.801  0.08


PrMg: relaxed, PBE.

Summary:
Calculated volume   237.6 Å³ per cell
Uncorrected energy   -0.1178 Ha/atom
Total magnetization   0.000 μB/atom

Cell: 6.367 6.847 5.451 Å, 90.00 90.00 90.00°
Fractional coordinates of all 8 atoms:
Mg  0.996  0.001  0.000
Mg  0.496  0.249  0.000
Mg  0.338  0.501  0.500
Mg  0.838  0.749  0.500
Pr  0.042  0.511  0.000
Pr  0.542  0.739  0.000
Pr  0.291  0.011  0.500
Pr  0.791  0.239  0.500


CdFeAsOs: relaxed, PBE.

Summary:
Calculated volume   61.1 Å³ per cell
Uncorrected energy   -0.2086 Ha/atom
Total magnetization   0.536 μB/atom

Cell: 4.421 4.421 4.421 Å, 60.00 60.00 60.00°
Fractional coordinates of all 4 atoms:
As  0.000  0.000  0.000
Cd  0.500  0.500  0.500
Fe  0.750  0.750  0.750
Os  0.250  0.250  0.250